VASP calculation (PBE with a Hubbard U) on a geometry-optimized CrRh3F structure.

```
CrRh3F
1.0
-1.902 -1.721 3.669
-2.373 -2.813 -2.549
3.285 -3.028 0.283
Cr Rh F
1 3 1
Direct
0.000 0.000 0.000 Cr
0.000 0.500 0.000 Rh
0.000 0.000 0.500 Rh
0.500 0.000 0.000 Rh
0.500 0.500 0.500 F
```

- total energy (eV per atom) = -4.86
- space group = Pm-3m (221)
- energy relative to the lowest polymorph listed for this composition (eV per atom) = 0.100